Compound: CsCd2In4
Source: Alexandria
Functional: GGA-PBE
Structure: optimized geometry

Values from the calculation:
symmetry	Cmmm, No. 65
calculated formation energy	-0.07	eV per atom
magnetic moment	0.00	μB/f.u.

Cell: 5.125 5.105 8.763 Å, 106.94 90.00 90.00°
Fractional coordinates of all 7 atoms:
In 0.500 0.187 0.373
In 0.000 0.308 0.617
In 0.000 0.692 0.383
In 0.500 0.813 0.627
Cs 0.000 0.000 0.000
Cd 0.500 0.412 0.825
Cd 0.500 0.588 0.175